ZrSiRu2: relaxed, PBE-GGA.

As for the raw formation energy: -0.6 eV per formula unit.

The space group is I-42d (No. 122) and the conventional cell measures 6.917, 6.917 and 5.617 Å, with angles of 90.00, 90.00 and 90.00 degrees. The asymmetric unit holds Zr at (0.000, 0.000, 0.000), Si at (0.000, 0.000, 0.500) and Ru at (0.186, 0.250, 0.625).